<A>
Computed, not measured: CaSiGe after structural relaxation at the GGA-PBE level of DFT.

The mass density is 3.5 g cm⁻³.

It has space group P2_1/m (No. 11), with a = 4.928 Å, b = 4.011 Å, c = 6.827 Å, α = 90.00°, β = 90.48° and γ = 90.00°. The asymmetric unit holds Ca at (0.013, 0.250, 0.258), Si at (0.415, 0.750, 0.422) and Ge at (0.394, 0.250, 0.913).

<B>
Computed, not measured: CaSiGe after structural relaxation at the GGA-PBE level of DFT.

The mass density is 3.3 g cm⁻³.

It has space group R3m (No. 160, hexagonal axes), with a = 3.9204 Å, b = 3.9204 Å, c = 15.8487 Å, α = 90.00°, β = 90.00° and γ = 120.00°. The asymmetric unit holds Ca at (0.0000, 0.0000, 0.0000), Si at (0.0000, 0.0000, 0.7996) and Ge at (0.0000, 0.0000, 0.1991).

Of them, <B> has the highest stability.

<A>
Computed, not measured: CaSiGe after structural relaxation at the GGA-PBE level of DFT.

The mass density is 3.5 g cm⁻³.

It has space group C2/m (No. 12), with a = 12.037 Å, b = 3.976 Å, c = 6.871 Å, α = 90.00°, β = 124.63° and γ = 90.00°. The asymmetric unit holds Ca at (0.248, 0.000, 0.241), Si at (0.046, 0.000, 0.707) and Ge at (0.050, 0.500, 0.223).

<B>
Computed, not measured: CaSiGe after structural relaxation at the GGA-PBE level of DFT.

The mass density is 3.7 g cm⁻³.

It has space group C2/m (No. 12), with a = 11.227 Å, b = 4.018 Å, c = 7.230 Å, α = 90.00°, β = 128.72° and γ = 90.00°. The asymmetric unit holds Ca at (0.063, 0.000, 0.318), Si at (0.151, 0.500, 0.097) and Ge at (0.175, 0.500, 0.736).

<C>
Computed, not measured: CaSiGe after structural relaxation at the GGA-PBE level of DFT.

The mass density is 3.3 g cm⁻³.

It has space group C2/m (No. 12), with a = 10.807 Å, b = 3.925 Å, c = 6.780 Å, α = 90.00°, β = 102.14° and γ = 90.00°. The asymmetric unit holds Ca at (0.247, 0.000, 0.253), Si at (0.047, 0.500, 0.354) and Ge at (0.052, 0.000, 0.845).

<D>
Computed, not measured: CaSiGe after structural relaxation at the GGA-PBE level of DFT.

The mass density is 3.4 g cm⁻³.

It has space group P6_3mc (No. 186), with a = 3.9509 Å, b = 3.9509 Å, c = 10.2275 Å, α = 90.00°, β = 90.00° and γ = 120.00°. The asymmetric unit holds Ca at (0.3333, 0.6667, 0.0000), Si at (0.3333, 0.6667, 0.3098) and Ge at (0.0000, 0.0000, 0.2119).

Of them, <C> has the highest stability.